# 1
Here is Er2GeRu2 after structural relaxation from the Alexandria database. Energies are from PBE.

* ρ: 10.14 g cm⁻³
* density of states at the Fermi level: 0.402 states/eV per atom
* DFT formation energy: -0.571 eV per atom

```
data_Er2GeRu2
_chemical_formula_sum 'Er8 Ge4 Ru8'
_symmetry_space_group_name_H-M 'C 1 2/c 1'
_symmetry_Int_Tables_number 15
_cell_length_a 9.935
_cell_length_b 5.432
_cell_length_c 7.633
_cell_angle_alpha 90.00
_cell_angle_beta 104.23
_cell_angle_gamma 90.00
loop_
_symmetry_equiv_pos_as_xyz
'x,y,z'
'-x,-y,-z'
'-x,y,-z+1/2'
'x,-y,z+1/2'
'x+1/2,y+1/2,z'
'-x+1/2,-y+1/2,-z'
'-x+1/2,y+1/2,-z+1/2'
'x+1/2,-y+1/2,z+1/2'
loop_
_atom_site_label
_atom_site_type_symbol
_atom_site_fract_x
_atom_site_fract_y
_atom_site_fract_z
Er1 Er 0.143 0.151 0.144
Ge1 Ge 0.000 0.382 0.750
Ru1 Ru 0.138 0.348 0.512
```


# 2
Here is ErGe2Ru2 after structural relaxation from the Alexandria database. Energies are from PBE.

* ρ: 9.60 g cm⁻³
* density of states at the Fermi level: 0.474 states/eV per atom
* DFT formation energy: -0.639 eV per atom

```
data_ErGe2Ru2
_chemical_formula_sum 'Er2 Ge4 Ru4'
_symmetry_space_group_name_H-M 'I 4/m m m'
_symmetry_Int_Tables_number 139
_symmetry_space_group_name_Hall '-I 4 2'
_cell_length_a 4.257
_cell_length_b 4.257
_cell_length_c 9.821
_cell_angle_alpha 90.00
_cell_angle_beta 90.00
_cell_angle_gamma 90.00
loop_
_atom_site_label
_atom_site_type_symbol
_atom_site_fract_x
_atom_site_fract_y
_atom_site_fract_z
Er1 Er 0.000 0.000 0.000
Ge1 Ge 0.000 0.000 0.371
Ru1 Ru 0.000 0.500 0.250
```


# 3
Here is Er2Ge3Ru after structural relaxation from the Alexandria database. Energies are from PBE.

* ρ: 8.79 g cm⁻³
* density of states at the Fermi level: 0.460 states/eV per atom
* DFT formation energy: -0.474 eV per atom

```
data_Er2Ge3Ru
_chemical_formula_sum 'Er8 Ge12 Ru4'
_symmetry_space_group_name_H-M 'C m c 21'
_symmetry_Int_Tables_number 36
_cell_length_a 9.703
_cell_length_b 8.867
_cell_length_c 5.739
_cell_angle_alpha 90.00
_cell_angle_beta 90.00
_cell_angle_gamma 90.00
loop_
_symmetry_equiv_pos_as_xyz
'x,y,z'
'-x,-y,z+1/2'
'-x,y,z'
'x,-y,z+1/2'
'x+1/2,y+1/2,z'
'-x+1/2,-y+1/2,z+1/2'
'-x+1/2,y+1/2,z'
'x+1/2,-y+1/2,z+1/2'
loop_
_atom_site_label
_atom_site_type_symbol
_atom_site_fract_x
_atom_site_fract_y
_atom_site_fract_z
Er1 Er 0.167 0.206 0.000
Ge1 Ge 0.000 0.075 0.494
Ge2 Ge 0.154 0.500 0.250
Ru1 Ru 0.000 0.339 0.500
```


# 4
Here is Er2GeRu2 after structural relaxation from the Alexandria database. Energies are from PBE.

* ρ: 10.25 g cm⁻³
* density of states at the Fermi level: 0.802 states/eV per atom
* DFT formation energy: -0.541 eV per atom

```
data_Er2GeRu2
_chemical_formula_sum 'Er4 Ge2 Ru4'
_symmetry_space_group_name_H-M 'I m m m'
_symmetry_Int_Tables_number 71
_symmetry_space_group_name_Hall '-I 2 2'
_cell_length_a 3.992
_cell_length_b 5.790
_cell_length_c 8.544
_cell_angle_alpha 90.00
_cell_angle_beta 90.00
_cell_angle_gamma 90.00
loop_
_atom_site_label
_atom_site_type_symbol
_atom_site_fract_x
_atom_site_fract_y
_atom_site_fract_z
Er1 Er 0.000 0.000 0.207
Ge1 Ge 0.000 0.500 0.000
Ru1 Ru 0.000 0.273 0.500
```


# 5
Here is ErGe4Ru4 after structural relaxation from the Alexandria database. Energies are from PBE.

* ρ: 9.42 g cm⁻³
* density of states at the Fermi level: 0.718 states/eV per atom
* DFT formation energy: -0.296 eV per atom

```
data_ErGe4Ru4
_chemical_formula_sum 'Er2 Ge8 Ru8'
_symmetry_space_group_name_H-M 'P 42/n m c'
_symmetry_Int_Tables_number 137
_cell_length_a 6.069
_cell_length_b 6.069
_cell_length_c 8.250
_cell_angle_alpha 90.00
_cell_angle_beta 90.00
_cell_angle_gamma 90.00
loop_
_symmetry_equiv_pos_as_xyz
'x,y,z'
'-x,-y,-z'
'-y+1/2,x,z+1/2'
'y+1/2,-x,-z+1/2'
'-x+1/2,-y+1/2,z'
'x+1/2,y+1/2,-z'
'y,-x+1/2,z+1/2'
'-y,x+1/2,-z+1/2'
'x+1/2,-y,-z'
'-x+1/2,y,z'
'-y,-x,-z+1/2'
'y,x,z+1/2'
'-x,y+1/2,-z'
'x,-y+1/2,z'
'y+1/2,x+1/2,-z+1/2'
'-y+1/2,-x+1/2,z+1/2'
loop_
_atom_site_label
_atom_site_type_symbol
_atom_site_fract_x
_atom_site_fract_y
_atom_site_fract_z
Er1 Er 0.250 0.750 0.250
Ge1 Ge 0.041 0.250 0.064
Ru1 Ru 0.013 0.250 0.364
```


# 6
Here is Er2Ge4Ru3 after structural relaxation from the Alexandria database. Energies are from PBE.

* ρ: 9.39 g cm⁻³
* density of states at the Fermi level: 1.004 states/eV per atom
* DFT formation energy: -0.480 eV per atom

```
data_Er2Ge4Ru3
_chemical_formula_sum 'Er8 Ge16 Ru12'
_symmetry_space_group_name_H-M 'F m m m'
_symmetry_Int_Tables_number 69
_symmetry_space_group_name_Hall '-F 2 2'
_cell_length_a 5.537
_cell_length_b 9.589
_cell_length_c 12.373
_cell_angle_alpha 90.00
_cell_angle_beta 90.00
_cell_angle_gamma 90.00
loop_
_atom_site_label
_atom_site_type_symbol
_atom_site_fract_x
_atom_site_fract_y
_atom_site_fract_z
Er1 Er 0.000 0.000 0.131
Ge1 Ge 0.000 0.169 0.342
Ru1 Ru 0.000 0.000 0.500
Ru2 Ru 0.250 0.250 0.000
```